(1)
! PBE Li2OsPb, optimized geometry; values from VASP
! ΔH_f (0 K) (eV per atom): 0.330
&SYSTEM
  ibrav = 0, nat = 4, ntyp = 3
/
ATOMIC_SPECIES
Li 6.94 Li.upf
Os 190.23 Os.upf
Pb 207.20 Pb.upf
CELL_PARAMETERS angstrom
3.3606 0.0000 0.0000
0.0000 4.4007 0.0000
0.0000 0.0000 4.5383
ATOMIC_POSITIONS crystal
Li 0.0000 0.0000 0.0000
Li 0.5000 0.5000 0.0000
Os 0.0000 0.5000 0.5000
Pb 0.5000 0.0000 0.5000

=====

(2)
! PBE KOs, optimized geometry; values from VASP
! Polymorph energy (0 for the lowest one) (meV per atom): 2484
! ΔH_f (0 K) (eV per atom): 3.182
&SYSTEM
  ibrav = 0, nat = 12, ntyp = 2
/
ATOMIC_SPECIES
K 39.10 K.upf
Os 190.23 Os.upf
CELL_PARAMETERS angstrom
9.7351 0.0000 0.0000
0.0000 9.7351 0.0000
0.0000 0.0000 9.7351
ATOMIC_POSITIONS crystal
K 0.0000 0.2500 0.5000
K 0.0000 0.7500 0.5000
K 0.2500 0.5000 0.0000
K 0.5000 0.0000 0.2500
K 0.5000 0.0000 0.7500
K 0.7500 0.5000 0.0000
Os 0.0000 0.5000 0.2500
Os 0.0000 0.5000 0.7500
Os 0.2500 0.0000 0.5000
Os 0.5000 0.2500 0.0000
Os 0.5000 0.7500 0.0000
Os 0.7500 0.0000 0.5000

=====

(3)
! PBE K2TlAg, optimized geometry; values from VASP
! Polymorph energy (0 for the lowest one) (meV per atom): 127
! ΔH_f (0 K) (eV per atom): 0.097
&SYSTEM
  ibrav = 0, nat = 4, ntyp = 3
/
ATOMIC_SPECIES
K 39.10 K.upf
Tl 204.38 Tl.upf
Ag 107.87 Ag.upf
CELL_PARAMETERS angstrom
-2.6044 2.6044 5.2453
2.6044 -2.6044 5.2453
2.6044 2.6044 -5.2453
ATOMIC_POSITIONS crystal
K 0.2500 0.7500 0.5000
K 0.7500 0.2500 0.5000
Tl 0.0000 0.0000 0.0000
Ag 0.5000 0.5000 0.0000

=====

(4)
! PBE PmMnTlSe3, optimized geometry; values from VASP
! Formation energy from raw total energies (eV/atom): -1.03
&SYSTEM
  ibrav = 0, nat = 12, ntyp = 4
/
ATOMIC_SPECIES
Pm 145.00 Pm.upf
Mn 54.94 Mn.upf
Tl 204.38 Tl.upf
Se 78.96 Se.upf
CELL_PARAMETERS angstrom
9.1506 0.0000 0.0000
0.0000 4.2851 0.0000
-2.5373 0.0000 9.4581
ATOMIC_POSITIONS crystal
Pm 0.1671 0.2500 0.1452
Pm 0.8329 0.7500 0.8548
Mn 0.4164 0.7500 0.3923
Mn 0.5836 0.2500 0.6077
Tl 0.2999 0.7500 0.7836
Tl 0.7001 0.2500 0.2164
Se 0.0481 0.2500 0.8385
Se 0.2997 0.2500 0.4674
Se 0.3885 0.7500 0.1335
Se 0.6115 0.2500 0.8665
Se 0.7003 0.7500 0.5326
Se 0.9519 0.7500 0.1615

=====

Number 1: density 10.176 g/cm3. Number 2: density 2.476 g/cm3. Number 3: density 4.556 g/cm3. Number 4: density 5.742 g/cm3.